1:
Entry from Alexandria via LeMat-Bulk: PrMg2Ga after structural relaxation (PBE).

POSCAR file:
```
PrMg2Ga
1.0
4.665 0.002 0.000
-2.330 5.536 0.000
0.000 0.000 7.475
Pr Ga Mg
2 2 4
direct
0.922 0.845 0.250
0.078 0.155 0.750
0.792 0.584 0.750
0.208 0.416 0.250
0.637 0.274 0.446
0.363 0.726 0.946
0.363 0.726 0.554
0.637 0.274 0.054
```

The volume is 193 Å³/cell. The space-group type is Cmcm (63). The calculation puts the calculated density at 4.46 g cm⁻³. The crystal system is orthorhombic.

---

2:
Entry from Alexandria via LeMat-Bulk: PrMg2Ga after structural relaxation (PBE).

POSCAR file:
```
PrMg2Ga
1.0
-1.178 2.957 -0.634
-0.108 1.082 -3.057
-10.632 -2.968 -2.397
Pr Ga Mg
1 1 2
direct
0.000 0.000 0.000
0.500 0.500 0.500
0.099 0.099 0.704
0.901 0.901 0.296
```

The volume is 102 Å³/cell. The space-group type is R-3m (166). The calculation puts the calculated density at 4.24 g cm⁻³. The crystal system is trigonal.

---

The energy of each structure relative to the most stable one, in meV per atom, is as follows: 1 0; 2 430.